Below is Ba2SrCl2 at its PBEsol-relaxed geometry, with properties calculated at the SCAN level.

Values from the calculation:
* symmetry: No. 139
* E_form (uncorrected): -1.529 eV/atom

abc: 5.1813 5.1813 9.2752
angles: 106.22 106.22 90.00
Element x y z (fractional)
Sr: 0.0000 0.0000 0.0000
Ba: 0.3509 0.3509 0.7017
Ba: 0.6491 0.6491 0.2983
Cl: 0.2500 0.7500 0.5000
Cl: 0.7500 0.2500 0.5000